Computed, not measured: a PBEsol-optimized structure of CsMoSe2 at the meta-GGA SCAN level of DFT.

Cell: 7.5975 7.5975 9.1586 Å, 90.00 90.00 90.00°
With the nearest neighbours (Å) after each atom.
Space group I-42d (No. 122)
Unique sites:
Cs: 0.0000 0.0000 0.0000  8 Se 3.66-4.02
Mo: 0.0000 0.0000 0.5000  4 Se 2.39
Se: 0.1161 0.2500 0.6250  2 Mo 2.39

Its crystal system is tetragonal. Its density of states at the Fermi level is 3.159 states/eV/f.u. The total energy comes out at -459.92 eV/cell. The magnetization is 0.353 μB per atom. The formation energy without anion corrections is -0.53 eV/atom. The value obtained for the calculated volume is 33.04 A^3/atom.